(1)
Below is a crystal of CuAgF2 relaxed with PBEsol, with properties calculated at the SCAN level.

CIF file:
```
data_CuAgF2
_chemical_formula_sum 'Cu3 Ag3 F6'
_cell_length_a 2.9275
_cell_length_b 2.9275
_cell_length_c 21.3448
_cell_angle_alpha 90.00
_cell_angle_beta 90.00
_cell_angle_gamma 120.00
_space_group_name_H-M_alt 'R -3 m'
_space_group_IT_number 166
_space_group_name_Hall '-R 3 2"'
loop_
_atom_site_label
_atom_site_type_symbol
_atom_site_fract_x
_atom_site_fract_y
_atom_site_fract_z
_atom_site_occupancy
Cu1 Cu 0.0000 0.0000 0.0000 1
Ag1 Ag 0.0000 0.0000 0.5000 1
F1 F 0.0000 0.0000 0.0851 1
```

Output
energy relative to the elements, uncorrected = -104 kJ/mol of atoms
N(E_F) = 0.274 states/eV per atom

(2)
Below is a crystal of GeIr relaxed with PBEsol, with properties calculated at the SCAN level.

CIF file:
```
data_GeIr
_chemical_formula_sum 'Ge4 Ir4'
_cell_length_a 5.549
_cell_length_b 3.572
_cell_length_c 6.233
_cell_angle_alpha 90.00
_cell_angle_beta 90.00
_cell_angle_gamma 90.00
_space_group_name_H-M_alt 'P n m a'
_space_group_IT_number 62
loop_
_space_group_symop_operation_xyz
'x,y,z'
'-x,-y,-z'
'-x+1/2,-y,z+1/2'
'x+1/2,y,-z+1/2'
'x+1/2,-y+1/2,-z+1/2'
'-x+1/2,y+1/2,z+1/2'
'-x,y+1/2,-z'
'x,-y+1/2,z'
loop_
_atom_site_label
_atom_site_type_symbol
_atom_site_fract_x
_atom_site_fract_y
_atom_site_fract_z
_atom_site_occupancy
Ge1 Ge 0.191 0.250 0.079 1
Ir1 Ir 0.005 0.250 0.706 1
```

Output
N(E_F) = 0.551 states/eV per atom
energy of formation from the pure elements = -0.4141 eV/atom

(3)
Below is a crystal of RbCuO2F relaxed with PBEsol, with properties calculated at the SCAN level.

CIF file:
```
data_RbCuO2F
_chemical_formula_sum 'Rb1 Cu1 O2 F1'
_cell_length_a 4.148
_cell_length_b 4.148
_cell_length_c 4.858
_cell_angle_alpha 90.00
_cell_angle_beta 90.00
_cell_angle_gamma 90.00
_space_group_name_H-M_alt 'P 4/m m m'
_space_group_IT_number 123
_space_group_name_Hall '-P 4 2'
loop_
_atom_site_label
_atom_site_type_symbol
_atom_site_fract_x
_atom_site_fract_y
_atom_site_fract_z
_atom_site_occupancy
Rb1 Rb 0.000 0.000 0.000 1
Cu1 Cu 0.500 0.500 0.500 1
O1 O 0.000 0.500 0.000 1
F1 F 0.000 0.000 0.500 1
```

Output
energy relative to the elements, uncorrected = 72 kJ/mol of atoms
N(E_F) = 1.484 states/eV per atom

(4)
Below is a crystal of Ti2IOF relaxed with PBEsol, with properties calculated at the SCAN level.

CIF file:
```
data_Ti2IOF
_chemical_formula_sum 'Ti2 I1 O1 F1'
_cell_length_a 5.151
_cell_length_b 5.151
_cell_length_c 4.184
_cell_angle_alpha 90.00
_cell_angle_beta 90.00
_cell_angle_gamma 90.00
_space_group_name_H-M_alt 'P 4/m m m'
_space_group_IT_number 123
_space_group_name_Hall '-P 4 2'
loop_
_atom_site_label
_atom_site_type_symbol
_atom_site_fract_x
_atom_site_fract_y
_atom_site_fract_z
_atom_site_occupancy
Ti1 Ti 0.000 0.500 0.000 1
I1 I 0.000 0.000 0.000 1
O1 O 0.000 0.000 0.500 1
F1 F 0.500 0.500 0.500 1
```

Output
energy relative to the elements, uncorrected = 21 kJ/mol of atoms
N(E_F) = 0.418 states/eV per atom

(5)
Below is a crystal of InRuCl2 relaxed with PBEsol, with properties calculated at the SCAN level.

CIF file:
```
data_InRuCl2
_chemical_formula_sum 'In4 Ru4 Cl8'
_cell_length_a 6.663
_cell_length_b 6.663
_cell_length_c 6.663
_cell_angle_alpha 90.00
_cell_angle_beta 90.00
_cell_angle_gamma 90.00
_space_group_name_H-M_alt 'F -4 3 m'
_space_group_IT_number 216
_space_group_name_Hall 'F -4 2 3'
loop_
_atom_site_label
_atom_site_type_symbol
_atom_site_fract_x
_atom_site_fract_y
_atom_site_fract_z
_atom_site_occupancy
In1 In 0.000 0.000 0.000 1
Ru1 Ru 0.250 0.250 0.750 1
Cl1 Cl 0.000 0.000 0.500 1
Cl2 Cl 0.250 0.250 0.250 1
```

Output
energy relative to the elements, uncorrected = 39 kJ/mol of atoms
N(E_F) = 0.448 states/eV per atom
excess energy over the best structure of this formula in the dataset = 350 meV per atom

(6)
Below is a crystal of MnTeIr4 relaxed with PBEsol, with properties calculated at the SCAN level.

CIF file:
```
data_MnTeIr4
_chemical_formula_sum 'Mn4 Te4 Ir16'
_cell_length_a 7.353
_cell_length_b 7.353
_cell_length_c 7.353
_cell_angle_alpha 90.00
_cell_angle_beta 90.00
_cell_angle_gamma 90.00
_space_group_name_H-M_alt 'F -4 3 m'
_space_group_IT_number 216
_space_group_name_Hall 'F -4 2 3'
loop_
_atom_site_label
_atom_site_type_symbol
_atom_site_fract_x
_atom_site_fract_y
_atom_site_fract_z
_atom_site_occupancy
Mn1 Mn 0.000 0.000 0.000 1
Te1 Te 0.250 0.250 0.250 1
Ir1 Ir 0.125 0.125 0.625 1
```

Output
energy relative to the elements, uncorrected = 33 kJ/mol of atoms
N(E_F) = 0.775 states/eV per atom

(7)
Below is a crystal of Ba2PCl relaxed with PBEsol, with properties calculated at the SCAN level.

CIF file:
```
data_Ba2PCl
_chemical_formula_sum 'Ba6 P3 Cl3'
_cell_length_a 4.6002
_cell_length_b 4.6002
_cell_length_c 22.5248
_cell_angle_alpha 90.00
_cell_angle_beta 90.00
_cell_angle_gamma 120.00
_space_group_name_H-M_alt 'R -3 m'
_space_group_IT_number 166
_space_group_name_Hall '-R 3 2"'
loop_
_atom_site_label
_atom_site_type_symbol
_atom_site_fract_x
_atom_site_fract_y
_atom_site_fract_z
_atom_site_occupancy
Ba1 Ba 0.0000 0.0000 0.2420 1
P1 P 0.0000 0.0000 0.5000 1
Cl1 Cl 0.0000 0.0000 0.0000 1
```

Output
energy relative to the elements, uncorrected = -183 kJ/mol of atoms
excess energy over the best structure of this formula in the dataset = 0 meV per atom

(8)
Below is a crystal of FeCo3Tc relaxed with PBEsol, with properties calculated at the SCAN level.

CIF file:
```
data_FeCo3Tc
_chemical_formula_sum 'Fe1 Co3 Tc1'
_cell_length_a 4.269
_cell_length_b 4.269
_cell_length_c 4.269
_cell_angle_alpha 90.00
_cell_angle_beta 90.00
_cell_angle_gamma 90.00
_space_group_name_H-M_alt 'P m -3 m'
_space_group_IT_number 221
_space_group_name_Hall '-P 4 2 3'
loop_
_atom_site_label
_atom_site_type_symbol
_atom_site_fract_x
_atom_site_fract_y
_atom_site_fract_z
_atom_site_occupancy
Fe1 Fe 0.000 0.000 0.000 1
Co1 Co 0.000 0.500 0.500 1
Tc1 Tc 0.500 0.500 0.500 1
```

Output
N(E_F) = 1.215 states/eV per atom
energy of formation from the pure elements = 1.6653 eV/atom
excess energy over the best structure of this formula in the dataset = 411 meV per atom

(9)
Below is a crystal of Li2MgZn relaxed with PBEsol, with properties calculated at the SCAN level.

CIF file:
```
data_Li2MgZn
_chemical_formula_sum 'Li2 Mg1 Zn1'
_cell_length_a 2.838
_cell_length_b 4.250
_cell_length_c 5.762
_cell_angle_alpha 90.00
_cell_angle_beta 102.52
_cell_angle_gamma 90.00
_space_group_name_H-M_alt 'P 1 m 1'
_space_group_IT_number 6
loop_
_space_group_symop_operation_xyz
'x,y,z'
'x,-y,z'
loop_
_atom_site_label
_atom_site_type_symbol
_atom_site_fract_x
_atom_site_fract_y
_atom_site_fract_z
_atom_site_occupancy
Li1 Li 0.000 0.000 0.000 1
Li2 Li 0.404 0.500 0.244 1
Mg1 Mg 0.960 0.000 0.521 1
Zn1 Zn 0.520 0.500 0.770 1
```

Output
N(E_F) = 0.325 states/eV per atom
energy of formation from the pure elements = -0.0993 eV/atom

(10)
Below is a crystal of SnBiN2F relaxed with PBEsol, with properties calculated at the SCAN level.

CIF file:
```
data_SnBiN2F
_chemical_formula_sum 'Sn1 Bi1 N2 F1'
_cell_length_a 4.181
_cell_length_b 4.181
_cell_length_c 4.041
_cell_angle_alpha 90.00
_cell_angle_beta 90.00
_cell_angle_gamma 90.00
_space_group_name_H-M_alt 'P 4/m m m'
_space_group_IT_number 123
_space_group_name_Hall '-P 4 2'
loop_
_atom_site_label
_atom_site_type_symbol
_atom_site_fract_x
_atom_site_fract_y
_atom_site_fract_z
_atom_site_occupancy
Sn1 Sn 0.000 0.000 0.000 1
Bi1 Bi 0.500 0.500 0.500 1
N1 N 0.000 0.500 0.000 1
F1 F 0.000 0.000 0.500 1
```

Output
energy relative to the elements, uncorrected = 12 kJ/mol of atoms
N(E_F) = 0.134 states/eV per atom

(11)
Below is a crystal of NiOsRu3 relaxed with PBEsol, with properties calculated at the SCAN level.

CIF file:
```
data_NiOsRu3
_chemical_formula_sum 'Ni1 Os1 Ru3'
_cell_length_a 4.583
_cell_length_b 4.583
_cell_length_c 4.583
_cell_angle_alpha 90.00
_cell_angle_beta 90.00
_cell_angle_gamma 90.00
_space_group_name_H-M_alt 'P m -3 m'
_space_group_IT_number 221
_space_group_name_Hall '-P 4 2 3'
loop_
_atom_site_label
_atom_site_type_symbol
_atom_site_fract_x
_atom_site_fract_y
_atom_site_fract_z
_atom_site_occupancy
Ni1 Ni 0.000 0.000 0.000 1
Os1 Os 0.500 0.500 0.500 1
Ru1 Ru 0.000 0.500 0.500 1
```

Output
N(E_F) = 1.129 states/eV per atom
energy of formation from the pure elements = 2.0536 eV/atom
excess energy over the best structure of this formula in the dataset = 181 meV per atom

(12)
Below is a crystal of FeAgIr relaxed with PBEsol, with properties calculated at the SCAN level.

CIF file:
```
data_FeAgIr
_chemical_formula_sum 'Fe1 Ag1 Ir1'
_cell_length_a 4.3064
_cell_length_b 4.3064
_cell_length_c 2.6708
_cell_angle_alpha 90.00
_cell_angle_beta 90.00
_cell_angle_gamma 120.00
_space_group_name_H-M_alt 'P 3 m 1'
_space_group_IT_number 156
loop_
_space_group_symop_operation_xyz
'x,y,z'
'-y,x-y,z'
'-x+y,-x,z'
'-y,-x,z'
'-x+y,y,z'
'x,x-y,z'
loop_
_atom_site_label
_atom_site_type_symbol
_atom_site_fract_x
_atom_site_fract_y
_atom_site_fract_z
_atom_site_occupancy
Fe1 Fe 0.0000 0.0000 0.0000 1
Ag1 Ag 0.3333 0.6667 0.6771 1
Ir1 Ir 0.6667 0.3333 0.2363 1
```

Output
N(E_F) = 0.415 states/eV per atom
energy of formation from the pure elements = 0.2466 eV/atom

For reference, total energy by record: -0.533, -1.672, -0.354, -0.570, -0.758, -2.069, -0.965, -0.711, -0.217, -0.999, -1.340, -1.468 Ha/atom.